Compound: PrCo2Si2
Source: OQMD
Functional: PBE-GGA
Structure: relaxed

magnetization = 0.01 μB/f.u.
symmetry = No. 139
total energy = -33.53 eV per cell

Unit cell a=3.9558 b=3.9558 c=5.7287 alpha=110.20 beta=110.20 gamma=90.00
Last column: nearest neighbours and their distance in Å.
Fractional coordinates of all 5 atoms:
Co 0.7500 0.2500 0.5000  4 Si 2.29
Co 0.2500 0.7500 0.5000  4 Si 2.29
Pr 0.0000 0.0000 0.0000  8 Si 3.10, 8 Co 3.19
Si 0.6347 0.6347 0.2695  4 Co 2.29
Si 0.3653 0.3653 0.7305  4 Co 2.29